# 1
Ce2Ho3ScS6 PBE-GGA optimized geometry; density of states at the Fermi level = 13.0 states/eV/cell; ΔE_f (raw) = -1.97 eV per atom
1.0
3.8902 0.0000 0.0000
0.0000 7.8467 0.2664
-1.9451 -2.2753 8.2020
S Sc Ho Ce
6 1 3 2
Direct
0.6624 0.0730 0.3248
0.6633 0.5912 0.3265
0.0034 0.7608 0.0068
0.9966 0.2392 0.9932
0.3367 0.4088 0.6735
0.3376 0.9270 0.6752
0.5000 0.0000 0.0000
0.1682 0.8331 0.3364
0.5000 0.5000 0.0000
0.8318 0.1669 0.6636
0.8334 0.6652 0.6668
0.1666 0.3348 0.3332

---

# 2
Ac2AsO PBE-GGA optimized geometry; density of states at the Fermi level = 2.6 states/eV/cell; energy relative to the lowest polymorph listed for this composition = 504 meV/atom; ΔE_f (raw) = -1.43 eV per atom
1.0
3.6071 0.0000 0.0000
0.0000 3.6071 0.0000
0.0000 0.0000 7.2225
O Ac As
1 2 1
Direct
0.5000 0.5000 0.0000
0.0000 0.0000 0.2379
0.0000 0.0000 0.7621
0.5000 0.5000 0.5000

---

# 3
Cd3Ag PBE-GGA optimized geometry; density of states at the Fermi level = 0.8 states/eV/cell; formation enthalpy at 0 K = -0.1 eV/f.u.
1.0
6.2499 -0.0279 0.0000
-3.1081 5.4308 0.0000
0.0000 0.0000 4.8541
Cd Ag
6 2
Direct
0.4936 0.5040 0.0000
0.4936 0.9896 0.0000
0.3358 0.1679 0.5000
0.9976 0.9988 0.0000
0.8397 0.1771 0.5000
0.8397 0.6627 0.5000
0.0006 0.5003 0.0000
0.3327 0.6664 0.5000

---

# 4
PaCo4H8 PBE-GGA optimized geometry; density of states at the Fermi level = 10.5 states/eV/cell; total DFT energy (no corrections) = -64.1 eV per cell
1.0
-4.0214 1.7291 -2.9126
4.5161 -1.3826 -2.3103
-0.3994 -5.0986 2.2703
Co H Pa
4 8 1
Direct
0.5000 0.0000 0.0000
0.0000 0.0000 0.0000
0.5000 0.5000 0.0000
0.0000 0.5000 0.0000
0.5801 0.7901 0.8285
0.4199 0.2099 0.1715
0.5459 0.2730 0.8188
0.9615 0.7516 0.1715
0.0385 0.2484 0.8285
0.9615 0.2099 0.1715
0.4541 0.7270 0.1812
0.0385 0.7901 0.8285
0.0000 0.5000 0.5000

---

# 5
PrSmTl2 PBE-GGA optimized geometry; density of states at the Fermi level = 3.2 states/eV/cell; energy relative to the lowest polymorph listed for this composition = 8 meV/atom; formation enthalpy at 0 K = -1.5 eV/f.u.
1.0
5.5146 0.0000 0.0000
2.7573 4.7758 0.0000
2.7573 1.5919 4.5027
Tl Pr Sm
2 1 1
Direct
0.7500 0.7500 0.7500
0.2500 0.2500 0.2500
0.5000 0.5000 0.5000
0.0000 0.0000 0.0000

---

# 6
Na5Nd PBE-GGA optimized geometry; density of states at the Fermi level = 3.0 states/eV/cell; formation enthalpy at 0 K = 0.9 eV/f.u.
1.0
-2.2553 -2.1156 1.9239
-0.1463 -4.1407 -4.7248
7.4443 -2.4179 6.0676
Na Nd
5 1
Direct
0.0000 0.3486 0.6972
0.5000 0.1740 0.3480
0.5000 0.8260 0.6520
0.0000 0.6514 0.3028
0.5000 0.5000 0.0000
0.0000 0.0000 0.0000

---

# 7
LaSm8Tm4 PBE-GGA optimized geometry; density of states at the Fermi level = 16.8 states/eV/cell; formation enthalpy at 0 K = 2.3 eV/f.u.
1.0
6.4638 -0.0004 -3.4873
-4.1724 6.0442 -0.0005
1.2406 0.8572 10.0337
Tm Sm La
4 8 1
Direct
0.5000 0.0000 0.0000
0.5000 0.5000 0.0000
0.0000 0.0000 0.0000
0.0000 0.5000 0.0000
0.0491 0.2502 0.2993
0.9509 0.2011 0.7007
0.5004 0.2502 0.2993
0.9509 0.7498 0.7007
0.5619 0.7810 0.3429
0.4381 0.2190 0.6571
0.0491 0.7989 0.2993
0.4996 0.7498 0.7007
0.0000 0.5000 0.5000

---

# 8
TbZn12Ni6 PBE-GGA optimized geometry; density of states at the Fermi level = 11.8 states/eV/cell; formation enthalpy at 0 K = -1.8 eV/f.u.
1.0
-6.1416 2.3935 1.9646
2.6273 -2.9657 5.6223
3.8491 5.6106 -1.0071
Zn Ni Tb
12 6 1
Direct
0.1411 0.3993 0.3993
0.6007 0.6007 0.8589
0.8852 0.1148 0.5000
0.1148 0.8852 0.5000
0.8852 0.5000 0.1148
0.5000 0.1148 0.8852
0.3993 0.1411 0.3993
0.8589 0.6007 0.6007
0.6007 0.8589 0.6007
0.1148 0.5000 0.8852
0.5000 0.8852 0.1148
0.3993 0.3993 0.1411
0.2779 0.2779 0.6998
0.3002 0.7221 0.7221
0.6998 0.2779 0.2779
0.2779 0.6998 0.2779
0.7221 0.7221 0.3002
0.7221 0.3002 0.7221
0.0000 0.0000 0.0000